[1]
A relaxed MgIrCl2 crystal. Source: Alexandria via LeMat-Bulk, functional PBE.

Output
- Total magnetization: 0.00 μB/cell
- Energy relative to the lowest polymorph listed for this composition: 0.000 eV/atom
- Energy relative to the elements, uncorrected: -455 meV/atom

```
data_MgIrCl2
_chemical_formula_sum 'Mg1 Ir1 Cl2'
_cell_length_a 7.1208
_cell_length_b 7.1208
_cell_length_c 4.6525
_cell_angle_alpha 87.29
_cell_angle_beta 87.29
_cell_angle_gamma 25.16
_symmetry_space_group_name_H-M 'P 1'
_symmetry_Int_Tables_number 1
loop_
_symmetry_equiv_pos_as_xyz
'x,y,z'
loop_
_atom_site_label
_atom_site_fract_x
_atom_site_fract_y
_atom_site_fract_z
Cl1 0.8826 0.8826 0.0287
Cl2 0.6174 0.6174 0.4713
Ir1 0.7500 0.7500 0.7500
Mg1 0.2500 0.2500 0.2500
```



[2]
A relaxed MgIr2Cl crystal. Source: Alexandria via LeMat-Bulk, functional PBE.

Output
- Total magnetization: 0.00 μB/cell
- Energy relative to the lowest polymorph listed for this composition: 0.265 eV/atom
- Energy relative to the elements, uncorrected: 182 meV/atom

```
data_MgIr2Cl
_chemical_formula_sum 'Mg1 Ir2 Cl1'
_cell_length_a 2.9285
_cell_length_b 2.9285
_cell_length_c 8.8296
_cell_angle_alpha 90.00
_cell_angle_beta 90.00
_cell_angle_gamma 119.95
_symmetry_space_group_name_H-M 'P 1'
_symmetry_Int_Tables_number 1
loop_
_symmetry_equiv_pos_as_xyz
'x,y,z'
loop_
_atom_site_label
_atom_site_fract_x
_atom_site_fract_y
_atom_site_fract_z
Mg1 0.0000 0.0000 0.5085
Ir1 0.0000 0.0000 0.0137
Ir2 0.5000 0.5000 0.2577
Cl1 0.5000 0.5000 0.7201
```



[3]
A relaxed MgIrCl2 crystal. Source: Alexandria via LeMat-Bulk, functional PBE.

Output
- Total magnetization: 0.97 μB/cell
- Energy relative to the lowest polymorph listed for this composition: 0.306 eV/atom
- Energy relative to the elements, uncorrected: -149 meV/atom

```
data_MgIrCl2
_chemical_formula_sum 'Mg1 Ir1 Cl2'
_cell_length_a 3.3937
_cell_length_b 3.3985
_cell_length_c 7.0279
_cell_angle_alpha 90.00
_cell_angle_beta 90.00
_cell_angle_gamma 90.00
_symmetry_space_group_name_H-M 'P 1'
_symmetry_Int_Tables_number 1
loop_
_symmetry_equiv_pos_as_xyz
'x,y,z'
loop_
_atom_site_label
_atom_site_fract_x
_atom_site_fract_y
_atom_site_fract_z
Mg1 0.5000 0.5000 0.7238
Cl1 0.0000 0.0000 0.9004
Cl2 0.5000 0.5000 0.3207
Ir1 0.0000 0.0000 0.5551
```



[4]
A relaxed MgIrCl crystal. Source: Alexandria via LeMat-Bulk, functional PBE.

Output
- Total magnetization: 0.00 μB/cell
- Energy relative to the lowest polymorph listed for this composition: 0.755 eV/atom
- Energy relative to the elements, uncorrected: 46 meV/atom

```
data_MgIrCl
_chemical_formula_sum 'Mg4 Ir4 Cl4'
_cell_length_a 3.9307
_cell_length_b 5.6152
_cell_length_c 12.1032
_cell_angle_alpha 90.00
_cell_angle_beta 90.00
_cell_angle_gamma 90.00
_symmetry_space_group_name_H-M 'P 1'
_symmetry_Int_Tables_number 1
loop_
_symmetry_equiv_pos_as_xyz
'x,y,z'
loop_
_atom_site_label
_atom_site_fract_x
_atom_site_fract_y
_atom_site_fract_z
Ir1 0.4999 0.7500 0.7986
Ir2 0.9999 0.7500 0.7014
Ir3 0.0001 0.2500 0.2986
Ir4 0.5001 0.2500 0.2014
Mg1 0.5002 0.7500 0.1180
Mg2 0.4998 0.2500 0.8820
Mg3 0.0002 0.7500 0.3820
Mg4 0.9998 0.2500 0.6180
Cl1 0.0000 0.5000 0.0000
Cl2 0.0000 0.0000 0.0000
Cl3 0.5000 0.0000 0.5000
Cl4 0.5000 0.5000 0.5000
```



[5]
A relaxed MgIr2Cl crystal. Source: Alexandria via LeMat-Bulk, functional PBE.

Output
- Total magnetization: 0.00 μB/cell
- Energy relative to the lowest polymorph listed for this composition: 0.468 eV/atom
- Energy relative to the elements, uncorrected: 385 meV/atom

```
data_MgIr2Cl
_chemical_formula_sum 'Mg1 Ir2 Cl1'
_cell_length_a 2.8929
_cell_length_b 2.8929
_cell_length_c 8.7913
_cell_angle_alpha 90.00
_cell_angle_beta 90.00
_cell_angle_gamma 120.87
_symmetry_space_group_name_H-M 'P 1'
_symmetry_Int_Tables_number 1
loop_
_symmetry_equiv_pos_as_xyz
'x,y,z'
loop_
_atom_site_label
_atom_site_fract_x
_atom_site_fract_y
_atom_site_fract_z
Ir1 0.0000 0.0000 0.5036
Ir2 0.0000 0.0000 0.9964
Mg1 0.5000 0.5000 0.2500
Cl1 0.5000 0.5000 0.7500
```



[6]
A relaxed MgIrCl crystal. Source: Alexandria via LeMat-Bulk, functional PBE.

Output
- Total magnetization: 0.00 μB/cell
- Energy relative to the lowest polymorph listed for this composition: 0.728 eV/atom
- Energy relative to the elements, uncorrected: 20 meV/atom

```
data_MgIrCl
_chemical_formula_sum 'Mg4 Ir4 Cl4'
_cell_length_a 8.2119
_cell_length_b 3.0546
_cell_length_c 8.5456
_cell_angle_alpha 90.00
_cell_angle_beta 90.00
_cell_angle_gamma 90.00
_symmetry_space_group_name_H-M 'P 1'
_symmetry_Int_Tables_number 1
loop_
_symmetry_equiv_pos_as_xyz
'x,y,z'
loop_
_atom_site_label
_atom_site_fract_x
_atom_site_fract_y
_atom_site_fract_z
Ir1 0.3008 0.2500 0.3400
Ir2 0.1992 0.7500 0.8400
Ir3 0.6992 0.7500 0.6600
Ir4 0.8008 0.2500 0.1600
Mg1 0.5717 0.7500 0.3341
Mg2 0.0717 0.7500 0.1659
Mg3 0.4283 0.2500 0.6659
Mg4 0.9283 0.2500 0.8341
Cl1 0.8240 0.2500 0.4365
Cl2 0.3240 0.2500 0.0635
Cl3 0.6760 0.7500 0.9365
Cl4 0.1760 0.7500 0.5635
```



[7]
A relaxed MgIrCl4 crystal. Source: Alexandria via LeMat-Bulk, functional PBE.

Output
- Total magnetization: 3.85 μB/cell
- Energy relative to the elements, uncorrected: 967 meV/atom

```
data_MgIrCl4
_chemical_formula_sum 'Mg1 Ir1 Cl4'
_cell_length_a 5.7676
_cell_length_b 5.7676
_cell_length_c 5.7676
_cell_angle_alpha 60.00
_cell_angle_beta 60.00
_cell_angle_gamma 60.00
_symmetry_space_group_name_H-M 'P 1'
_symmetry_Int_Tables_number 1
loop_
_symmetry_equiv_pos_as_xyz
'x,y,z'
loop_
_atom_site_label
_atom_site_fract_x
_atom_site_fract_y
_atom_site_fract_z
Cl1 0.3759 0.8724 0.3759
Cl2 0.3759 0.3759 0.3759
Cl3 0.3759 0.3759 0.8724
Cl4 0.8724 0.3759 0.3759
Ir1 0.7500 0.7500 0.7500
Mg1 0.0000 0.0000 0.0000
```



[8]
A relaxed MgIrCl2 crystal. Source: Alexandria via LeMat-Bulk, functional PBE.

Output
- Total magnetization: 0.00 μB/cell
- Energy relative to the lowest polymorph listed for this composition: 0.373 eV/atom
- Energy relative to the elements, uncorrected: -82 meV/atom

```
data_MgIrCl2
_chemical_formula_sum 'Mg1 Ir1 Cl2'
_cell_length_a 3.0583
_cell_length_b 5.6798
_cell_length_c 4.0843
_cell_angle_alpha 90.00
_cell_angle_beta 90.00
_cell_angle_gamma 90.00
_symmetry_space_group_name_H-M 'P 1'
_symmetry_Int_Tables_number 1
loop_
_symmetry_equiv_pos_as_xyz
'x,y,z'
loop_
_atom_site_label
_atom_site_fract_x
_atom_site_fract_y
_atom_site_fract_z
Ir1 0.5000 0.0000 0.5000
Cl1 0.0000 0.0000 0.0000
Cl2 0.5000 0.5000 0.0000
Mg1 0.0000 0.5000 0.5000
```